Ce2Al2FeSi4 | GGA-PBE | relaxed

Output
E_form (uncorrected) = -4.61 eV per formula unit
Magnetization = 0.00 μB per atom
Calculated volume = 154 Å³/f.u.
E = -6.01 eV/atom

a = 6.0312 Å, b = 6.0312 Å, c = 8.4673 Å
α = 90.00°, β = 90.00°, γ = 90.00°
Space group I4/mmm (No. 139)
Asymmetric unit:
Ce 0.0000 0.5000 0.2500 (multiplicity 4)
Al 0.0000 0.0000 0.2149 (multiplicity 4)
Fe 0.0000 0.0000 0.5000 (multiplicity 2)
Si 0.2255 0.2255 0.0000 (multiplicity 8)